# LiPdAu2

An optimized crystal structure of LiPdAu2 (PBE, the Alexandria database).

a b c (Å): 6.4009 6.4009 6.4009
angles (deg): 90.00 90.00 90.00
Space group F-43m (No. 216)
Symmetry-distinct sites (fractional):
Li 0.0000 0.0000 0.0000 x4
Pd 0.2500 0.2500 0.7500 x4
Au 0.0000 0.0000 0.5000 x4
Au 0.2500 0.2500 0.2500 x4

As for the formation enthalpy at 0 K: -303 meV/atom. For the size of the total moment, the calculation gives 0.00 Bohr magnetons per cell. Its crystal system is cubic. The calculation puts the calculated density at 12.8 g cm⁻³.